Material: CsAgBi
Method: DFT, PBE
State: relaxed

Crystal system: hexagonal
VASP energy (eV/atom): -2.660
Energy relative to the lowest polymorph listed for this composition (eV per atom): 0.0235
D(E_F) (states/eV per atom): 1.03

Unit cell a=4.9108 b=4.9108 c=6.0566 alpha=90.00 beta=90.00 gamma=120.00
With the nearest neighbours (Å) after each atom.
Space group P-6m2 (No. 187)
Asymmetric unit:
Cs1 0.0000 0.0000 0.0000 (multiplicity 1)  6 Bi 4.15, 6 Ag 4.15
Ag1 0.6667 0.3333 0.5000 (multiplicity 1)  3 Bi 2.84
Bi1 0.3333 0.6667 0.5000 (multiplicity 1)  3 Ag 2.84

---

Material: ThSi2Au4
Method: DFT, PBE
State: relaxed

Crystal system: orthorhombic
VASP energy (eV/atom): -4.927
Raw formation energy (eV per atom): -0.445
D(E_F) (states/eV per atom): 0.27

Unit cell a=4.3880 b=13.9190 c=4.3727 alpha=90.00 beta=90.00 gamma=90.00
With the nearest neighbours (Å) after each atom.
Space group Cmmm (No. 65)
Asymmetric unit:
Th1 0.0000 0.0000 0.0000 (multiplicity 2)  8 Au 3.25-3.27, 8 Si 3.31
Si1 0.0000 0.4158 0.5000 (multiplicity 4)  1 Si 2.34, 4 Au 2.52
Au1 0.0000 0.1731 0.5000 (multiplicity 4)  2 Si 2.52
Au2 0.0000 0.3256 0.0000 (multiplicity 4)  2 Si 2.52

---

Material: Nd2Sm2Dy2Tl
Method: DFT, PBE
State: relaxed

Crystal system: monoclinic
VASP energy (eV/atom): -4.306
D(E_F) (states/eV per atom): 1.38

Unit cell a=17.4830 b=3.5284 c=8.2347 alpha=90.00 beta=116.61 gamma=90.00
With the nearest neighbours (Å) after each atom.
Space group C2/m (No. 12)
Asymmetric unit:
Nd1 0.1427 0.0000 0.3888 (multiplicity 4)  1 Dy 3.32, 3 Sm 3.42-3.53, 2 Tl 3.50, 2 Nd 3.53
Sm1 0.2197 0.5000 0.8026 (multiplicity 4)  3 Nd 3.42-3.53, 4 Sm 3.42-3.53, 3 Dy 3.46-3.53, 1 Tl 3.52
Dy1 0.0660 0.0000 0.8867 (multiplicity 4)  1 Nd 3.32, 2 Tl 3.36, 3 Sm 3.46-3.53, 3 Dy 3.53-3.56
Tl1 0.0000 0.5000 0.5000 (multiplicity 2)  4 Dy 3.36, 4 Nd 3.50, 2 Sm 3.52, 2 Tl 3.53